A relaxed MoP2O2 crystal. Source: Alexandria, functional PBE+U.

Structure (POSCAR):
```
MoP2O2
1.0
4.7260 0.0000 0.0000
0.0000 4.7260 0.0000
0.0000 0.0000 3.7785
P O Mo
2 2 1
direct
0.0000 0.5000 0.0000
0.5000 0.0000 0.0000
0.5000 0.5000 0.5000
0.0000 0.0000 0.5000
0.0000 0.0000 0.0000
```

Values from the calculation:
Space-group type = P4/mmm (123)
Uncorrected energy = -5.02 eV/atom
Energy relative to the lowest polymorph listed for this composition = 0.911 eV/atom
Mass density = 3.74 Mg/m³